No. 1
Compound: Fe2PW
Source: the Alexandria database
Functional: PBE
Structure: optimized geometry

DFT formation energy = -3 meV per atom
Energy = -8.825 eV per atom
Space group = Cm (8)

a b c (Å): 4.5606 4.5606 4.3199
angles (deg): 71.65 71.65 34.88
Element x y z (fractional)
1 Fe 0.0157 0.0157 0.9266
2 Fe 0.7657 0.7657 0.7739
3 P 0.4827 0.4827 0.5183
4 W 0.2359 0.2359 0.2812

***

No. 2
Compound: CaCo2Os
Source: the Alexandria database
Functional: PBE
Structure: optimized geometry

DFT formation energy = 738 meV per atom
Energy = -6.123 eV per atom
Space group = I-42d (122)
Excess energy over the best structure of this formula in the dataset = 0.381 eV per atom

a b c (Å): 4.5978 4.5978 8.4149
angles (deg): 74.15 74.15 90.00
Element x y z (fractional)
1 Co 0.8158 0.1250 0.2500
2 Co 0.9342 0.6250 0.2500
3 Co 0.3750 0.1842 0.7500
4 Co 0.8750 0.0658 0.7500
5 Ca 0.5000 0.5000 0.0000
6 Ca 0.2500 0.7500 0.5000
7 Os 0.0000 0.0000 0.0000
8 Os 0.7500 0.2500 0.5000

***

No. 3
Compound: TcAs2Os
Source: the Alexandria database
Functional: PBE
Structure: optimized geometry

DFT formation energy = 474 meV per atom
Energy = -7.250 eV per atom
Space group = I-4m2 (119)
Excess energy over the best structure of this formula in the dataset = 0.445 eV per atom

a b c (Å): 4.7704 4.7704 4.7704
angles (deg): 130.43 130.43 72.72
Element x y z (fractional)
1 As 0.0000 0.0000 0.0000
2 As 0.2500 0.7500 0.5000
3 Os 0.5000 0.5000 0.0000
4 Tc 0.7500 0.2500 0.5000

***

No. 4
Compound: La2PuSnN
Source: the Alexandria database
Functional: PBE
Structure: optimized geometry

Uncorrected formation energy = -0.9065 eV per atom
Energy = -8.210 eV per atom
Space group = P4/mmm (123)

a b c (Å): 4.7697 5.1548 5.1548
angles (deg): 90.00 90.00 90.00
Element x y z (fractional)
1 La 0.0000 0.0000 0.5000
2 La 0.0000 0.5000 0.0000
3 Pu 0.5000 0.0000 0.0000
4 Sn 0.5000 0.5000 0.5000
5 N 0.0000 0.0000 0.0000

***

No. 5
Compound: InTeSe2
Source: the Alexandria database
Functional: PBE
Structure: optimized geometry

Uncorrected formation energy = 0.0939 eV per atom
Energy = -3.118 eV per atom
Space group = R-3m (166)
Excess energy over the best structure of this formula in the dataset = 0.312 eV per atom

a b c (Å): 9.8660 9.8660 9.8660
angles (deg): 23.03 23.03 23.03
Element x y z (fractional)
1 Te 0.5000 0.5000 0.5000
2 Se 0.8931 0.8931 0.8931
3 Se 0.1069 0.1069 0.1069
4 In 0.0000 0.0000 0.0000

***

No. 6
Compound: Na3Ac2Au4
Source: the Alexandria database
Functional: PBE
Structure: optimized geometry

DFT formation energy = -447 meV per atom
Energy = -3.257 eV per atom
Space group = Cmce (64)

a b c (Å): 6.3101 9.0570 8.9915
angles (deg): 90.00 110.54 90.00
Element x y z (fractional)
1 Na 0.0000 0.0000 0.0000
2 Na 0.5000 0.5000 0.0000
3 Na 0.5529 0.7500 0.6057
4 Na 0.9471 0.2500 0.3943
5 Na 0.4471 0.2500 0.3943
6 Na 0.0529 0.7500 0.6057
7 Ac 0.1183 0.5956 0.2366
8 Ac 0.8817 0.4044 0.7634
9 Ac 0.3817 0.0956 0.7634
10 Ac 0.6183 0.9044 0.2366
11 Au 0.7232 0.7500 0.9464
12 Au 0.7768 0.2500 0.0536
13 Au 0.2768 0.2500 0.0536
14 Au 0.2232 0.7500 0.9464
15 Au 0.1883 0.9355 0.3766
16 Au 0.8117 0.0645 0.6234
17 Au 0.3117 0.4355 0.6234
18 Au 0.6883 0.5645 0.3766

***

No. 7
Compound: Dy8Sn5Sb
Source: the Alexandria database
Functional: PBE
Structure: optimized geometry

Uncorrected formation energy = -0.7735 eV per atom
Energy = -5.127 eV per atom
Space group = I-4 (82)

a b c (Å): 8.0295 8.0295 8.0295
angles (deg): 109.48 109.45 109.48
Element x y z (fractional)
1 Dy 0.1248 0.7500 0.0179
2 Dy 0.9821 0.1069 0.7321
3 Dy 0.7656 0.2488 0.3730
4 Dy 0.6270 0.3926 0.8758
5 Dy 0.4832 0.6074 0.2344
6 Dy 0.6252 0.8931 0.8752
7 Dy 0.2679 0.2500 0.3748
8 Dy 0.1242 0.7512 0.5168
9 Sn 0.0012 0.3753 0.1257
10 Sn 0.8743 0.8756 0.2496
11 Sn 0.7504 0.6247 0.6260
12 Sn 0.5000 0.0000 0.5000
13 Sn 0.3740 0.1244 0.9988
14 Sb 0.2500 0.5000 0.7500

***

No. 8
Compound: TaGaI2
Source: the Alexandria database
Functional: PBE
Structure: optimized geometry

Uncorrected formation energy = -0.0672 eV per atom
Energy = -4.562 eV per atom
Space group = P1 (1)
Excess energy over the best structure of this formula in the dataset = 0.021 eV per atom

a b c (Å): 3.9018 7.7072 10.3270
angles (deg): 72.09 79.33 75.34
Element x y z (fractional)
1 Ta 0.7104 0.7297 0.6983
2 Ta 0.3597 0.4837 0.6451
3 Ga 0.2723 0.8222 0.4780
4 Ga 0.8991 0.5804 0.4660
5 I 0.2869 0.0317 0.2350
6 I 0.0825 0.7883 0.9004
7 I 0.8227 0.3439 0.8632
8 I 0.5741 0.1252 0.5734

***

No. 9
Compound: SiTc3Ru
Source: the Alexandria database
Functional: PBE
Structure: optimized geometry

Uncorrected formation energy = 1.0295 eV per atom
Energy = -8.130 eV per atom
Space group = Pm-3m (221)
Excess energy over the best structure of this formula in the dataset = 0.000 eV per atom

a b c (Å): 4.3328 4.3328 4.3328
angles (deg): 90.00 90.00 90.00
Element x y z (fractional)
1 Ru 0.5000 0.5000 0.5000
2 Si 0.0000 0.0000 0.0000
3 Tc 0.0000 0.5000 0.0000
4 Tc 0.0000 0.0000 0.5000
5 Tc 0.5000 0.0000 0.0000

***

No. 10
Compound: Tb2NdErBi4
Source: the Alexandria database
Functional: PBE
Structure: optimized geometry

DFT formation energy = -875 meV per atom
Energy = -5.139 eV per atom
Space group = P2/m (10)

a b c (Å): 4.5151 7.8159 7.8128
angles (deg): 70.52 90.00 90.00
Element x y z (fractional)
1 Tb 0.0000 0.0000 0.0000
2 Tb 0.5000 0.0000 0.5000
3 Nd 0.5000 0.5000 0.0000
4 Er 0.0000 0.5000 0.5000
5 Bi 0.0000 0.7540 0.7438
6 Bi 0.0000 0.2460 0.2562
7 Bi 0.5000 0.7504 0.2547
8 Bi 0.5000 0.2496 0.7453

***

No. 11
Compound: BaNa2TcCl8
Source: the Alexandria database
Functional: PBE
Structure: optimized geometry

Uncorrected formation energy = -1.4725 eV per atom
Energy = -3.948 eV per atom
Space group = P-1 (2)

a b c (Å): 6.4234 6.5540 8.7083
angles (deg): 83.71 85.70 86.46
Element x y z (fractional)
1 Ba 0.0000 0.0000 0.5000
2 Na 0.4513 0.4379 0.7368
3 Na 0.5487 0.5621 0.2632
4 Tc 0.0000 0.0000 0.0000
5 Cl 0.1429 0.7687 0.2030
6 Cl 0.7251 0.7799 0.9926
7 Cl 0.7989 0.1813 0.1892
8 Cl 0.8571 0.2313 0.7970
9 Cl 0.2749 0.2201 0.0074
10 Cl 0.2011 0.8187 0.8108
11 Cl 0.6575 0.7053 0.5236
12 Cl 0.3425 0.2947 0.4764